(1)
Below is an optimized crystal structure of TaAu2Br, with properties calculated at the GGA-PBEsol level.

Geometry as extended XYZ:
```
4
Lattice="0.0000 3.2781 3.2781 3.2781 0.0000 3.2781 3.2781 3.2781 0.0000" Properties=species:S:1:pos:R:3 pbc="T T T"
Ta 0.0000 0.0000 0.0000
Au 1.6390 1.6390 1.6390
Au 3.2781 3.2781 3.2781
Br 4.9171 4.9171 4.9171
```

Properties
relative energy among the computed polymorphs	379	meV per atom
uncorrected formation energy	0.401	eV per atom
space-group type	No. 216



(2)
Below is an optimized crystal structure of BaSr2TiBr, with properties calculated at the GGA-PBEsol level.

Geometry as extended XYZ:
```
5
Lattice="6.7302 0.0000 0.0000 0.0000 6.7302 0.0000 0.0000 0.0000 4.9101" Properties=species:S:1:pos:R:3 pbc="T T T"
Ba 0.0000 0.0000 0.0000
Sr 0.0000 3.3651 2.4551
Sr 3.3651 0.0000 2.4551
Ti 3.3651 3.3651 2.4551
Br 3.3651 3.3651 0.0000
```

Properties
uncorrected formation energy	0.206	eV per atom
space-group type	No. 123



(3)
Below is an optimized crystal structure of MnHgSe, with properties calculated at the GGA-PBEsol level.

Geometry as extended XYZ:
```
3
Lattice="0.0000 3.1823 3.1823 3.1823 0.0000 3.1823 3.1823 3.1823 0.0000" Properties=species:S:1:pos:R:3 pbc="T T T"
Mn 0.0000 0.0000 0.0000
Hg 1.5912 1.5912 1.5912
Se 4.7735 4.7735 4.7735
```

Properties
uncorrected formation energy	0.143	eV per atom
space-group type	No. 216



(4)
Below is an optimized crystal structure of NaY2CoIr, with properties calculated at the GGA-PBEsol level.

Geometry as extended XYZ:
```
5
Lattice="5.2013 0.0000 0.0000 0.0000 5.2013 0.0000 0.0000 0.0000 5.1381" Properties=species:S:1:pos:R:3 pbc="T T T"
Na 0.0000 0.0000 0.0000
Y 0.0000 2.6006 2.5690
Y 2.6006 0.0000 2.5690
Co 2.6006 2.6006 0.0000
Ir 0.0000 0.0000 2.5690
```

Properties
DFT total energy	-5.9179	eV per atom
space-group type	No. 123



(5)
Below is an optimized crystal structure of KFe2S3, with properties calculated at the GGA-PBEsol level.

Geometry as extended XYZ:
```
12
Lattice="4.2381 -5.3232 0.0000 4.2381 5.3232 0.0000 0.0000 0.0000 5.0860" Properties=species:S:1:pos:R:3 pbc="T T T"
K 4.2381 3.4429 3.8145
K 4.2381 -3.4429 1.2715
Fe 2.9828 0.0000 0.0000
Fe 2.9828 0.0000 2.5430
Fe 5.4933 0.0000 0.0000
Fe 5.4933 0.0000 2.5430
S 1.7977 1.1679 3.8145
S 1.7977 -1.1679 1.2715
S 4.2381 1.1971 1.2715
S 4.2381 -1.1971 3.8145
S 6.6784 1.1679 3.8145
S 6.6784 -1.1679 1.2715
```

Properties
uncorrected formation energy	-0.737	eV per atom
space-group type	No. 63



(6)
Below is an optimized crystal structure of Sc2FeHg, with properties calculated at the GGA-PBEsol level.

Geometry as extended XYZ:
```
4
Lattice="4.3656 0.0000 0.0000 0.0000 1.6435 5.2474 0.0000 -1.6435 5.2474" Properties=species:S:1:pos:R:3 pbc="T T T"
Sc 0.0000 0.0000 0.0000
Sc 2.1828 0.0000 3.2350
Fe 0.0000 0.0000 7.7766
Hg 2.1828 0.0000 6.1273
```

Properties
DFT total energy	-5.8096	eV per atom
space-group type	No. 38



(7)
Below is an optimized crystal structure of MnH20C2S2N6O12, with properties calculated at the GGA-PBEsol level.

Geometry as extended XYZ:
```
43
Lattice="6.2650 0.0000 0.0000 -2.1413 6.0102 0.0000 -1.3095 -0.6279 9.6715" Properties=species:S:1:pos:R:3 pbc="T T T"
Mn 0.0000 0.0000 0.0000
H -1.8733 3.2136 8.6808
H -1.8970 5.2864 6.5761
H -0.0158 2.5590 1.1139
H -1.0911 3.7312 6.5794
H -0.2235 2.8691 4.7488
H 1.1119 -0.0500 3.1527
H 0.6211 0.6459 4.7312
H 0.0021 3.7825 3.2602
H 0.2454 5.3440 1.3512
H 2.2658 0.9672 1.3192
H 0.5484 4.4151 8.3523
H 2.5688 0.0384 8.3203
H 2.8121 1.5999 6.4113
H 2.1932 4.7364 4.9403
H 1.7023 5.4324 6.5188
H 3.0377 2.5133 4.9227
H 3.9053 1.6511 3.0921
H 2.8300 2.8233 8.5576
H 4.7112 0.0959 3.0954
H 4.6875 2.1687 0.9906
C -1.0354 4.6999 4.7805
C 3.8496 0.6825 4.8909
S 0.3920 1.6842 7.6151
S 2.4223 3.6981 2.0564
N -1.3601 4.5744 6.0697
N -0.5041 3.6527 4.1467
N 0.8694 -0.1627 4.1473
N 1.9448 5.5450 5.5241
N 3.3184 1.7296 5.5247
N 4.1743 0.8079 3.6017
O -0.6508 1.8187 0.8908
O -0.3129 0.4569 8.0633
O 0.2906 1.8038 6.1467
O 1.7496 0.1065 1.3154
O -0.1969 2.8921 8.2612
O 0.9727 3.8129 1.6734
O 1.8416 1.5694 7.9981
O 3.0112 2.4902 1.4103
O 1.0647 5.2758 8.3561
O 2.5237 3.5785 3.5248
O 3.1272 4.9254 1.6082
O 3.4650 3.5636 8.7806
```

Properties
DFT total energy	-5.9479	eV per atom
space-group type	No. 2



(8)
Below is an optimized crystal structure of ReNi, with properties calculated at the GGA-PBEsol level.

Geometry as extended XYZ:
```
4
Lattice="-1.8541 1.8541 3.6509 1.8541 -1.8541 3.6509 1.8541 1.8541 -3.6509" Properties=species:S:1:pos:R:3 pbc="T T T"
Re 1.8541 0.9271 0.9127
Re 0.0000 0.9271 2.7382
Ni 1.8541 -0.9271 2.7382
Ni 0.0000 2.7812 0.9127
```

Properties
DFT total energy	-9.7537	eV per atom
space-group type	No. 141



(9)
Below is an optimized crystal structure of TePNCl2, with properties calculated at the GGA-PBEsol level.

Geometry as extended XYZ:
```
5
Lattice="5.3311 0.0000 0.0000 0.0000 5.3311 0.0000 0.0000 0.0000 5.2371" Properties=species:S:1:pos:R:3 pbc="T T T"
Te 0.0000 0.0000 0.0000
P 0.0000 0.0000 2.6185
N 2.6656 2.6656 2.6185
Cl 0.0000 2.6656 0.0000
Cl 2.6656 0.0000 0.0000
```

Properties
uncorrected formation energy	1.333	eV per atom
space-group type	No. 123



(10)
Below is an optimized crystal structure of K2TaTl, with properties calculated at the GGA-PBEsol level.

Geometry as extended XYZ:
```
4
Lattice="3.1918 0.0000 0.0000 0.0000 5.3362 0.0000 0.0000 0.0000 6.2107" Properties=species:S:1:pos:R:3 pbc="T T T"
K 0.0000 0.0000 0.0000
K 1.5959 2.6681 0.0000
Ta 0.0000 2.6681 3.1054
Tl 1.5959 0.0000 3.1054
```

Properties
relative energy among the computed polymorphs	240	meV per atom
space-group type	No. 47



(11)
Below is an optimized crystal structure of LiTeBr, with properties calculated at the GGA-PBEsol level.

Geometry as extended XYZ:
```
3
Lattice="3.3176 0.0000 0.0000 -1.6588 2.8731 0.0000 0.0000 0.0000 7.6593" Properties=species:S:1:pos:R:3 pbc="T T T"
Li 0.0000 0.0000 0.0000
Te 0.0000 1.9154 5.2480
Br 1.6588 0.9577 1.5677
```

Properties
relative energy among the computed polymorphs	0	meV per atom
uncorrected formation energy	-0.600	eV per atom
space-group type	No. 156



(12)
Below is an optimized crystal structure of TaAs2PtSe, with properties calculated at the GGA-PBEsol level.

Geometry as extended XYZ:
```
5
Lattice="4.7660 0.0000 0.0000 0.0000 4.7660 0.0000 0.0000 0.0000 4.5843" Properties=species:S:1:pos:R:3 pbc="T T T"
Ta 0.0000 0.0000 0.0000
As 0.0000 2.3830 2.2921
As 2.3830 0.0000 2.2921
Pt 2.3830 2.3830 0.0000
Se 2.3830 2.3830 2.2921
```

Properties
uncorrected formation energy	1.221	eV per atom
space-group type	No. 123



(13)
Below is an optimized crystal structure of ZrZn4Re, with properties calculated at the GGA-PBEsol level.

Geometry as extended XYZ:
```
6
Lattice="0.0000 3.4973 3.4973 3.4973 0.0000 3.4973 3.4973 3.4973 0.0000" Properties=species:S:1:pos:R:3 pbc="T T T"
Zr 0.0000 0.0000 0.0000
Zn 4.3656 2.6290 2.6290
Zn 2.6290 4.3656 2.6290
Zn 2.6290 2.6290 4.3656
Zn 4.3656 4.3656 4.3656
Re 1.7487 1.7487 1.7487
```

Properties
DFT total energy	-5.0020	eV per atom
space-group type	No. 216



(14)
Below is an optimized crystal structure of AlTc2Te, with properties calculated at the GGA-PBEsol level.

Geometry as extended XYZ:
```
4
Lattice="2.9793 0.0000 0.0000 0.0000 2.9793 0.0000 0.0000 0.0000 7.8458" Properties=species:S:1:pos:R:3 pbc="T T T"
Al 0.0000 0.0000 0.0000
Tc 0.0000 0.0000 3.1168
Tc 1.4896 1.4896 1.5736
Te 1.4896 1.4896 5.0538
```

Properties
relative energy among the computed polymorphs	86	meV per atom
uncorrected formation energy	0.071	eV per atom
space-group type	No. 99



no.,size of the total moment (Bohr magnetons per cell)
1,0.00
2,2.59
3,4.47
4,1.66
5,0.02
6,1.29
7,5.00
8,0.00
9,4.25
10,1.54
11,0.00
12,0.13
13,0.00
14,0.00